# 1
CrW2Cl: relaxed, PBE.

Cell: 4.5225 4.5225 2.8291 Å, 90.00 90.00 90.00°
Last column: nearest neighbours and their distance in Å.
Fractional positions:
W 0.0000 0.0000 0.0000  4 Cr 2.67, 4 Cl 2.67, 2 W 2.83
W 0.5000 0.5000 0.0000  4 Cr 2.67, 4 Cl 2.67, 2 W 2.83
Cl 0.5000 0.0000 0.5000  8 W 2.67, 2 Cl 2.83
Cr 0.0000 0.5000 0.5000  8 W 2.67, 2 Cr 2.83

Output
* space-group type: No. 123
* polymorph energy (0 for the lowest one): 13.97 kcal/mol of atoms
* DOS at the Fermi energy: 3.53 states/eV per cell
* calculated total energy: -33.469 eV per cell
* total magnetic moment: 0.017 μB/f.u.


# 2
CrW2Cl: relaxed, PBE.

Cell: 5.3707 5.3707 5.3707 Å, 148.52 130.29 60.03°
Last column: nearest neighbours and their distance in Å.
Fractional positions:
Cr 0.2500 0.7500 0.5000  4 Cl 2.69, 4 W 2.91, 2 Cr 2.91
Cl 0.7500 0.2500 0.5000  4 W 2.58, 4 Cr 2.69
W 0.9795 0.9795 0.0000  2 Cl 2.58, 4 W 2.71
W 0.5205 0.5205 0.0000  2 Cl 2.58, 4 W 2.71

Output
* space-group type: No. 71
* polymorph energy (0 for the lowest one): 11.22 kcal/mol of atoms
* DOS at the Fermi energy: 3.62 states/eV per cell
* calculated total energy: -33.945 eV per cell
* total magnetic moment: 1.983 μB/f.u.


# 3
CrW2Cl: relaxed, PBE.

Cell: 4.8456 3.6874 3.6874 Å, 90.00 90.00 90.00°
Last column: nearest neighbours and their distance in Å.
Fractional positions:
W 0.0000 0.5000 0.5000  4 W 2.61
W 0.0000 0.0000 0.0000  4 W 2.61
Cr 0.5000 0.0000 0.5000  4 Cl 2.61
Cl 0.5000 0.5000 0.0000  4 Cr 2.61

Output
* space-group type: No. 123
* polymorph energy (0 for the lowest one): 18.82 kcal/mol of atoms
* DOS at the Fermi energy: 3.79 states/eV per cell
* calculated total energy: -32.627 eV per cell
* total magnetic moment: 2.850 μB/f.u.